{
  "formula": "Tc2NiBi",
  "functional": "PBE-GGA",
  "state": "relaxed",
  "lattice_angstrom": [[6.358, 0.000, 0.000], [0.000, 6.358, 0.000], [0.000, 0.000, 6.358]],
  "species": ["Tc", "Tc", "Tc", "Tc", "Tc", "Tc", "Tc", "Tc", "Ni", "Ni", "Ni", "Ni", "Bi", "Bi", "Bi", "Bi"],
  "frac_coords": [[0.000, 0.000, 0.000], [0.000, 0.500, 0.500], [0.250, 0.250, 0.250], [0.250, 0.750, 0.750], [0.500, 0.000, 0.500], [0.500, 0.500, 0.000], [0.750, 0.250, 0.750], [0.750, 0.750, 0.250], [0.250, 0.250, 0.750], [0.250, 0.750, 0.250], [0.750, 0.250, 0.250], [0.750, 0.750, 0.750], [0.000, 0.000, 0.500], [0.000, 0.500, 0.000], [0.500, 0.000, 0.000], [0.500, 0.500, 0.500]],
  "crystal_system": "cubic",
  "energy_ev_per_atom": -7.01
}